Here is a relaxed Tl3CdBi3Se8 crystal from Alexandria via LeMat-Bulk. Energies are from GGA-PBE.

Cell: 8.4518 8.4518 21.6962 Å, 90.00 90.00 120.00°
With the nearest neighbours (Å) after each atom.
Space group R-3m (No. 166, hexagonal axes)
One atom of each set of equivalent atoms:
Tl (0.0000, 0.5000, 0.0000)  6 Se 3.12
Cd (0.0000, 0.0000, 0.5000)  6 Se 2.89
Bi (0.0000, 0.5000, 0.5000)  6 Se 2.96
Se (0.0000, 0.0000, 0.2439)  3 Bi 2.96, 3 Tl 3.12
Se (0.0082, 0.5041, 0.2419)  1 Cd 2.89, 2 Bi 2.96, 2 Tl 3.12

Output
Magnetic moment = 0.0 μB/cell
E_form (uncorrected) = -5.27 eV per formula unit